This record from Alexandria describes crystalline BeSb2F at its relaxed geometry. The functional is PBE-GGA.

* ΔE_f (raw): -0.333 eV per atom
* space-group type: Fm-3m (225)
* uncorrected energy: -3.794 eV/atom

a = 4.598 Å, b = 4.598 Å, c = 4.598 Å
α = 60.00°, β = 60.00°, γ = 60.00°
Atoms (fractional coordinates):
Be 0.000 0.000 0.000
Sb 0.750 0.750 0.750
Sb 0.250 0.250 0.250
F 0.500 0.500 0.500



This record from Alexandria describes crystalline LiInSn at its relaxed geometry. The functional is PBE-GGA.

* formation energy from the elements: -18 kJ/mol of atoms
* space-group type: P2_1/m (11)
* uncorrected energy: -3.075 eV/atom

a = 4.498 Å, b = 7.389 Å, c = 4.410 Å
α = 75.50°, β = 90.00°, γ = 89.99°
Atoms (fractional coordinates):
Li 0.974 0.722 0.093
Li 0.474 0.049 0.952
Sn 0.474 0.742 0.591
Sn 0.974 0.029 0.454
In 0.475 0.398 0.263
In 0.975 0.373 0.783



This record from Alexandria describes crystalline Al2AgAu at its relaxed geometry. The functional is PBE-GGA.

* formation energy from the elements: -8 kJ/mol of atoms
* space-group type: P2/m (10)
* uncorrected energy: -3.491 eV/atom

a = 4.492 Å, b = 3.088 Å, c = 5.128 Å
α = 94.15°, β = 90.00°, γ = 90.00°
Atoms (fractional coordinates):
Al 0.000 0.431 0.510
Al 0.000 0.069 0.990
Au 0.500 0.250 0.250
Ag 0.500 0.750 0.750



This record from Alexandria describes crystalline RbCaInRe2 at its relaxed geometry. The functional is PBE-GGA.

* formation energy from the elements: 196 kJ/mol of atoms
* space-group type: P4/mmm (123)
* uncorrected energy: -4.090 eV/atom

a = 5.080 Å, b = 5.811 Å, c = 5.080 Å
α = 90.00°, β = 90.00°, γ = 90.00°
Atoms (fractional coordinates):
Re 0.000 0.000 0.500
Re 0.500 0.000 0.000
Ca 0.500 0.500 0.500
Rb 0.000 0.500 0.000
In 0.000 0.000 0.000



This record from Alexandria describes crystalline Ac6AgPb3 at its relaxed geometry. The functional is PBE-GGA.

* formation energy from the elements: -26 kJ/mol of atoms
* space-group type: Cmc2_1 (36)
* uncorrected energy: -4.129 eV/atom

a = 7.959 Å, b = 10.139 Å, c = 10.139 Å
α = 106.81°, β = 90.00°, γ = 90.00°
Atoms (fractional coordinates):
Ac 0.787 0.045 0.955
Ac 0.588 0.674 0.769
Ac 0.725 0.884 0.474
Ac 0.287 0.955 0.045
Ac 0.088 0.769 0.674
Ac 0.225 0.474 0.884
Ac 0.225 0.116 0.526
Ac 0.766 0.297 0.703
Ac 0.088 0.326 0.231
Ac 0.266 0.703 0.297
Ac 0.725 0.526 0.116
Ac 0.588 0.231 0.326
Ag 0.610 0.846 0.154
Ag 0.110 0.154 0.846
Pb 0.947 0.735 0.985
Pb 0.447 0.985 0.735
Pb 0.447 0.265 0.015
Pb 0.947 0.015 0.265
Pb 0.302 0.460 0.540
Pb 0.802 0.540 0.460



This record from Alexandria describes crystalline IrOs2Pt at its relaxed geometry. The functional is PBE-GGA.

* formation energy from the elements: 70 kJ/mol of atoms
* space-group type: Fm-3m (225)
* uncorrected energy: -8.617 eV/atom

a = 4.410 Å, b = 4.410 Å, c = 4.410 Å
α = 60.00°, β = 60.00°, γ = 60.00°
Last column: magnetic moment on the atom in μB.
Atoms (fractional coordinates):
Pt 0.500 0.500 0.500  0.15
Os 0.750 0.750 0.750  0.36
Os 0.250 0.250 0.250  0.36
Ir 0.000 0.000 0.000  0.66